An optimized crystal structure of BaLiCaTl2. Source: Alexandria via LeMat-Bulk, functional GGA-PBE.

The formation energy comes out at -1.08 eV per formula unit. As for the space group: P3m1, No. 156. The calculation puts the energy at -2.33 eV per atom. As for the spin magnetization: 0.0 μB/f.u.

a = 5.7484 Å, b = 5.7484 Å, c = 6.2742 Å
α = 90.00°, β = 90.00°, γ = 120.00°
Positions (direct):
Ba: 0.0000 0.0000 0.0000
Li: 0.3333 0.6667 0.7238
Ca: 0.6667 0.3333 0.4289
Tl: 0.3333 0.6667 0.2374
Tl: 0.6667 0.3333 0.9246